ZrHgPb2: single point on PBEsol structure, meta-GGA SCAN.

**Formation energy from the elements**: -0.5 eV per formula unit

CIF file:
```
data_ZrHgPb2
_chemical_formula_sum 'Zr1 Hg1 Pb2'
_cell_length_a 3.290
_cell_length_b 5.447
_cell_length_c 5.981
_cell_angle_alpha 110.18
_cell_angle_beta 105.96
_cell_angle_gamma 90.00
_space_group_name_H-M_alt 'P 1'
_space_group_IT_number 1
_space_group_name_Hall 'P 1'
loop_
_atom_site_label
_atom_site_fract_x
_atom_site_fract_y
_atom_site_fract_z
_atom_site_occupancy
Pb1 0.988 0.935 0.976 1
Pb2 0.765 0.324 0.530 1
Hg1 0.232 0.799 0.464 1
Zr1 0.515 0.441 0.029 1
```